Entry 1:
B2C: relaxed, PBE.

a b c (Å): 2.454 4.997 6.878
angles (deg): 90.55 90.00 90.00
Atoms (fractional coordinates):
B 0.000 0.840 0.937
B 0.500 0.341 0.923
B 0.500 0.942 0.366
B 0.500 0.058 0.634
B 0.000 0.160 0.063
B 0.000 0.813 0.686
B 0.500 0.659 0.077
B 0.000 0.187 0.314
C 0.500 0.638 0.308
C 0.500 0.362 0.692
C 0.000 0.493 0.385
C 0.000 0.507 0.615

Computed properties:
ρ, Mg/m³: 2.649
Energy above the lowest structure with this stoichiometry, meV per atom: 292
Formation energy from the elements, meV/atom: 478
DFT total energy, eV per formula unit: -21.1
Space-group type: P2/m (10)
Fermi-level density of states, states/eV/cell: 2.617



Entry 2:
RbLa2NbTe: relaxed, PBE.

a b c (Å): 6.177 5.239 6.177
angles (deg): 90.00 90.00 90.00
Atoms (fractional coordinates):
Nb 0.000 0.500 0.000
La 0.000 0.000 0.500
La 0.500 0.000 0.000
Te 0.000 0.000 0.000
Rb 0.500 0.500 0.500

Computed properties:
ρ, Mg/m³: 4.849
Energy relative to the elements, uncorrected, eV per formula unit: 1.88
DFT total energy, eV per formula unit: -22.2
Space-group type: P4/mmm (123)
Fermi-level density of states, states/eV/cell: 6.248



Entry 3:
BaSb2TePd: relaxed, PBE.

a b c (Å): 5.275 5.275 5.713
angles (deg): 90.00 90.00 90.00
Atoms (fractional coordinates):
Ba 0.500 0.500 0.500
Sb 0.000 0.500 0.000
Sb 0.500 0.000 0.000
Pd 0.000 0.000 0.000
Te 0.000 0.000 0.500

Computed properties:
ρ, Mg/m³: 6.422
Energy above the lowest structure with this stoichiometry, meV per atom: 0
Energy relative to the elements, uncorrected, eV per formula unit: -2.21
DFT total energy, eV per formula unit: -20.7
Space-group type: P4/mmm (123)
Fermi-level density of states, states/eV/cell: 4.513



Entry 4:
RbNa2Ca: relaxed, PBE.

a b c (Å): 10.084 10.084 8.187
angles (deg): 51.98 51.98 90.00
Atoms (fractional coordinates):
Ca 0.250 0.750 0.500
Ca 0.500 0.500 0.000
Rb 0.000 0.000 0.000
Rb 0.750 0.250 0.500
Na 0.375 0.386 0.750
Na 0.136 0.625 0.250
Na 0.875 0.864 0.750
Na 0.614 0.125 0.250

Computed properties:
ρ, Mg/m³: 1.393
Energy above the lowest structure with this stoichiometry, meV per atom: 152
Formation energy from the elements, meV/atom: 236
DFT total energy, eV per formula unit: -4.7
Space-group type: I-42d (122)
Fermi-level density of states, states/eV/cell: 6.228



Entry 5:
Y4In2Fe: relaxed, PBE.

a b c (Å): 4.960 4.960 8.895
angles (deg): 73.81 73.81 90.00
Atoms (fractional coordinates):
Y 0.828 0.828 0.343
Y 0.000 0.500 0.000
Y 0.500 0.000 0.000
Y 0.172 0.172 0.657
In 0.363 0.363 0.274
In 0.637 0.637 0.726
Fe 0.000 0.000 0.000

Computed properties:
ρ, Mg/m³: 5.294
Formation energy from the elements, meV/atom: -75
DFT total energy, eV per formula unit: -40.3
Space-group type: I4/mmm (139)
Fermi-level density of states, states/eV/cell: 8.693



Entry 6:
Tl4Au3: relaxed, PBE.

a b c (Å): 5.598 5.598 6.572
angles (deg): 90.00 90.00 120.00
Atoms (fractional coordinates):
Tl 0.333 0.667 0.500
Tl 0.000 0.000 0.747
Tl 0.000 0.000 0.253
Tl 0.667 0.333 0.500
Au 0.500 0.500 0.000
Au 0.500 0.000 0.000
Au 0.000 0.500 0.000

Computed properties:
ρ, Mg/m³: 13.111
Energy above the lowest structure with this stoichiometry, meV per atom: 34
Formation energy from the elements, meV/atom: -2
DFT total energy, eV per formula unit: -19.3
Space-group type: P6/mmm (191)
Fermi-level density of states, states/eV/cell: 3.252



Entry 7:
NaTl2Se2O6: relaxed, PBE.

a b c (Å): 6.453 5.771 7.887
angles (deg): 115.27 90.00 124.00
Atoms (fractional coordinates):
O 0.731 0.876 0.246
O 0.234 0.468 0.462
O 0.145 0.876 0.246
O 0.269 0.124 0.754
O 0.766 0.532 0.538
O 0.855 0.124 0.754
Se 0.949 0.898 0.757
Se 0.051 0.102 0.243
Tl 0.691 0.381 0.192
Tl 0.309 0.619 0.808
Na 0.500 0.000 0.500

Computed properties:
ρ, Mg/m³: 5.455
Energy relative to the elements, uncorrected, eV per formula unit: -9.91
DFT total energy, eV per formula unit: -52.7
Space-group type: C2/m (12)
Fermi-level density of states, states/eV/cell: 3.051



Entry 8:
PaAlGePd: relaxed, PBE.

a b c (Å): 4.775 4.775 4.775
angles (deg): 60.00 60.00 60.00
Atoms (fractional coordinates):
Pd 0.500 0.500 0.500
Al 0.250 0.250 0.250
Pa 0.750 0.750 0.750
Ge 0.000 0.000 0.000

Computed properties:
ρ, Mg/m³: 9.425
Formation energy from the elements, meV/atom: -383
DFT total energy, eV per formula unit: -24.6
Space-group type: F-43m (216)
Fermi-level density of states, states/eV/cell: 3.106